Compound: TbAlGa2Ni5
Source: the Alexandria database
Functional: PBE-GGA
Structure: optimized geometry Values from VASP.

Cell and atoms, written as Quantum ESPRESSO input:
```
&SYSTEM
  ibrav = 0, nat = 9, ntyp = 4
/
ATOMIC_SPECIES
Tb 158.93 Tb.upf
Al 26.98 Al.upf
Ga 69.72 Ga.upf
Ni 58.69 Ni.upf
ATOMIC_POSITIONS angstrom
Tb 0.0000 0.0000 0.0000
Al 0.0000 0.0000 3.4922
Ga 2.2087 2.2087 2.3032
Ga 2.2087 2.2087 4.6812
Ni 0.0000 2.2087 1.8885
Ni 0.0000 2.2087 5.0960
Ni 2.2087 0.0000 1.8885
Ni 2.2087 0.0000 5.0960
Ni 2.2087 2.2087 0.0000
CELL_PARAMETERS angstrom
4.4173 0.0000 0.0000
0.0000 4.4173 0.0000
0.0000 0.0000 6.9845
```

Values from the calculation:
Space group = P4/mmm (123)
Total magnetic moment = 0.000 μB per atom
Electronic total energy = -4.92 eV per atom
Calculated density = 7.54 g/cm³
Formation energy from the elements = -103 meV per atom
Fermi-level density of states = 5.82 states/eV/cell

---

Compound: Ag2TeS3
Source: the Alexandria database
Functional: PBE-GGA
Structure: optimized geometry Values from VASP.

Cell and atoms, written as Quantum ESPRESSO input:
```
&SYSTEM
  ibrav = 0, nat = 12, ntyp = 3
/
ATOMIC_SPECIES
Ag 107.87 Ag.upf
Te 127.60 Te.upf
S 32.06 S.upf
ATOMIC_POSITIONS angstrom
Ag 1.8636 0.0034 0.6142
Ag 0.6466 -0.0034 4.2939
Ag 9.2792 0.0034 3.0656
Ag 8.0622 -0.0034 6.7453
Te 4.3544 0.0110 5.5196
Te 5.5714 -0.0110 1.8399
S 4.3544 2.4467 5.5196
S 3.1479 0.0019 3.0799
S 1.9309 -0.0019 6.7597
S 7.9949 0.0019 0.5998
S 6.7779 -0.0019 4.2796
S 5.5714 -2.4467 1.8399
CELL_PARAMETERS angstrom
6.1799 -2.7515 0.0000
6.1799 2.7515 0.0000
-2.4340 0.0000 7.3595
```

Values from the calculation:
Space group = C2/c (15)
Total magnetic moment = 0.000 μB per atom
Electronic total energy = -3.50 eV per atom
Energy relative to the elements, uncorrected = 24 kJ/mol of formula units
Calculated density = 5.83 g/cm³
Fermi-level density of states = 2.56 states/eV/cell

---

Compound: LaTbMgTl
Source: the Alexandria database
Functional: PBE-GGA
Structure: optimized geometry Values from VASP.

Cell and atoms, written as Quantum ESPRESSO input:
```
&SYSTEM
  ibrav = 0, nat = 16, ntyp = 4
/
ATOMIC_SPECIES
La 138.91 La.upf
Tb 158.93 Tb.upf
Mg 24.30 Mg.upf
Tl 204.38 Tl.upf
ATOMIC_POSITIONS angstrom
La 0.0000 0.0000 0.0000
La 0.0000 3.8871 3.8871
La 3.8871 0.0000 3.8871
La 3.8871 3.8871 0.0000
Tb 0.0000 0.0000 3.8871
Tb 0.0000 3.8871 0.0000
Tb 3.8871 0.0000 0.0000
Tb 3.8871 3.8871 3.8871
Mg 1.9435 1.9435 5.8306
Mg 1.9435 5.8306 1.9435
Mg 5.8306 1.9435 1.9435
Mg 5.8306 5.8306 5.8306
Tl 1.9435 1.9435 1.9435
Tl 1.9435 5.8306 5.8306
Tl 5.8306 1.9435 5.8306
Tl 5.8306 5.8306 1.9435
CELL_PARAMETERS angstrom
7.7742 0.0000 0.0000
0.0000 7.7742 0.0000
0.0000 0.0000 7.7742
```

Values from the calculation:
Space group = F-43m (216)
Total magnetic moment = 0.000 μB per atom
Electronic total energy = -3.64 eV per atom
Calculated density = 7.44 g/cm³
Formation energy from the elements = -257 meV per atom
Fermi-level density of states = 17.19 states/eV/cell

---

Compound: ScAlGa2
Source: the Alexandria database
Functional: PBE-GGA
Structure: optimized geometry Values from VASP.

Cell and atoms, written as Quantum ESPRESSO input:
```
&SYSTEM
  ibrav = 0, nat = 16, ntyp = 3
/
ATOMIC_SPECIES
Sc 44.96 Sc.upf
Al 26.98 Al.upf
Ga 69.72 Ga.upf
ATOMIC_POSITIONS angstrom
Sc 0.0000 0.0000 0.0000
Sc 0.0000 3.3156 3.3156
Sc 3.3156 0.0000 3.3156
Sc 3.3156 3.3156 0.0000
Al 0.0000 0.0000 3.3156
Al 0.0000 3.3156 0.0000
Al 3.3156 0.0000 0.0000
Al 3.3156 3.3156 3.3156
Ga 1.6578 1.6578 1.6578
Ga 1.6578 1.6578 4.9734
Ga 1.6578 4.9734 1.6578
Ga 1.6578 4.9734 4.9734
Ga 4.9734 1.6578 1.6578
Ga 4.9734 1.6578 4.9734
Ga 4.9734 4.9734 1.6578
Ga 4.9734 4.9734 4.9734
CELL_PARAMETERS angstrom
6.6312 0.0000 0.0000
0.0000 6.6312 0.0000
0.0000 0.0000 6.6312
```

Values from the calculation:
Space group = Fm-3m (225)
Total magnetic moment = 0.000 μB per atom
Electronic total energy = -4.24 eV per atom
Calculated density = 4.82 g/cm³
Formation energy from the elements = -210 meV per atom
Fermi-level density of states = 11.03 states/eV/cell

---

Compound: Sm2CoNi4P3
Source: the Alexandria database
Functional: PBE-GGA
Structure: optimized geometry Values from VASP.

Cell and atoms, written as Quantum ESPRESSO input:
```
&SYSTEM
  ibrav = 0, nat = 10, ntyp = 4
/
ATOMIC_SPECIES
Sm 150.36 Sm.upf
Co 58.93 Co.upf
Ni 58.69 Ni.upf
P 30.97 P.upf
ATOMIC_POSITIONS angstrom
Sm 0.0000 1.9811 2.3174
Sm 1.9811 0.0000 7.0330
Co 0.0000 0.0000 4.6752
Ni 0.0000 0.0000 0.0000
Ni 0.0000 1.9811 5.8399
Ni 1.9811 0.0000 3.5106
Ni 1.9811 1.9811 0.0000
P 0.0000 1.9811 8.1283
P 1.9811 0.0000 1.2222
P 1.9811 1.9811 4.6752
CELL_PARAMETERS angstrom
3.9622 0.0000 0.0000
0.0000 3.9622 0.0000
0.0000 0.0000 9.3505
```

Values from the calculation:
Space group = P-4m2 (115)
Total magnetic moment = 0.210 μB per atom
Electronic total energy = -6.42 eV per atom
Calculated density = 7.78 g/cm³
Formation energy from the elements = -830 meV per atom
Fermi-level density of states = 8.91 states/eV/cell

---

Compound: Li2Dy2In
Source: the Alexandria database
Functional: PBE-GGA
Structure: optimized geometry Values from VASP.

Cell and atoms, written as Quantum ESPRESSO input:
```
&SYSTEM
  ibrav = 0, nat = 10, ntyp = 3
/
ATOMIC_SPECIES
Li 6.94 Li.upf
Dy 162.50 Dy.upf
In 114.82 In.upf
ATOMIC_POSITIONS angstrom
Li 0.1163 0.7534 3.9447
Li -1.0287 -0.7534 7.9556
Li 8.5700 0.7534 0.0662
Li 7.4250 -0.7534 4.0771
Dy 1.4498 0.7917 6.8221
Dy 2.5947 -0.7917 2.8112
Dy 4.9466 0.7917 5.2106
Dy 6.0915 -0.7917 1.1997
In 4.3431 1.9135 2.0054
In 3.1982 -1.9135 6.0163
CELL_PARAMETERS angstrom
4.9156 -3.0396 0.0000
4.9156 3.0396 0.0000
-2.2899 0.0000 8.0218
```

Values from the calculation:
Space group = C2/c (15)
Total magnetic moment = 0.001 μB per atom
Electronic total energy = -3.27 eV per atom
Calculated density = 6.29 g/cm³
Formation energy from the elements = -112 meV per atom
Fermi-level density of states = 9.96 states/eV/cell

---

Compound: NaGa2ReNi
Source: the Alexandria database
Functional: PBE-GGA
Structure: optimized geometry Values from VASP.

Cell and atoms, written as Quantum ESPRESSO input:
```
&SYSTEM
  ibrav = 0, nat = 5, ntyp = 4
/
ATOMIC_SPECIES
Na 22.99 Na.upf
Ga 69.72 Ga.upf
Re 186.21 Re.upf
Ni 58.69 Ni.upf
ATOMIC_POSITIONS angstrom
Na 0.0000 0.0000 0.0000
Ga 0.0000 2.2890 0.0000
Ga 2.2890 0.0000 0.0000
Re 0.0000 0.0000 2.3864
Ni 2.2890 2.2890 2.3864
CELL_PARAMETERS angstrom
4.5781 0.0000 0.0000
0.0000 4.5781 0.0000
0.0000 0.0000 4.7729
```

Values from the calculation:
Space group = P4/mmm (123)
Total magnetic moment = 0.002 μB per atom
Electronic total energy = -3.00 eV per atom
Calculated density = 6.76 g/cm³
Formation energy from the elements = 2124 meV per atom
Fermi-level density of states = 6.12 states/eV/cell

---

Compound: Sn4SbTeSe2
Source: the Alexandria database
Functional: PBE-GGA
Structure: optimized geometry Values from VASP.

Cell and atoms, written as Quantum ESPRESSO input:
```
&SYSTEM
  ibrav = 0, nat = 8, ntyp = 4
/
ATOMIC_SPECIES
Sn 118.71 Sn.upf
Sb 121.76 Sb.upf
Te 127.60 Te.upf
Se 78.96 Se.upf
ATOMIC_POSITIONS angstrom
Sn 1.1705 0.0000 1.7220
Sn -0.0603 2.1769 5.3811
Sn 5.0581 2.1769 1.7492
Sn 3.8274 0.0000 5.4084
Sb 3.7559 0.0000 0.0000
Te 2.4989 2.1769 3.5652
Se -1.2570 0.0000 3.5652
Se 0.0000 2.1769 0.0000
CELL_PARAMETERS angstrom
7.5118 0.0000 0.0000
0.0000 4.3538 0.0000
-2.5139 0.0000 7.1303
```

Values from the calculation:
Space group = P2/m (10)
Total magnetic moment = 0.000 μB per atom
Electronic total energy = -4.03 eV per atom
Energy relative to the elements, uncorrected = -195 kJ/mol of formula units
Calculated density = 6.28 g/cm³
Fermi-level density of states = 3.42 states/eV/cell

---

Compound: CeSmOs
Source: the Alexandria database
Functional: PBE-GGA
Structure: optimized geometry Values from VASP.

Cell and atoms, written as Quantum ESPRESSO input:
```
&SYSTEM
  ibrav = 0, nat = 6, ntyp = 3
/
ATOMIC_SPECIES
Ce 140.12 Ce.upf
Sm 150.36 Sm.upf
Os 190.23 Os.upf
ATOMIC_POSITIONS angstrom
Ce -0.3261 1.0826 1.1612
Ce 4.4393 3.2478 5.0103
Sm 1.2584 1.0826 4.3536
Sm 2.8548 3.2478 1.8179
Os 0.0077 3.2478 2.7075
Os 4.1055 1.0826 3.4640
CELL_PARAMETERS angstrom
6.0696 0.0000 0.0000
0.0000 4.3304 0.0000
-1.9565 0.0000 6.1715
```

Values from the calculation:
Space group = P2_1/m (11)
Total magnetic moment = 0.069 μB per atom
Electronic total energy = -7.43 eV per atom
Energy above the most stable polymorph in this dataset = 0.0000 eV/atom
Calculated density = 9.84 g/cm³
Formation energy from the elements = -131 meV per atom
Fermi-level density of states = 9.50 states/eV/cell

---

Compound: Ac3Ag3Pd
Source: the Alexandria database
Functional: PBE-GGA
Structure: optimized geometry Values from VASP.

Cell and atoms, written as Quantum ESPRESSO input:
```
&SYSTEM
  ibrav = 0, nat = 14, ntyp = 3
/
ATOMIC_SPECIES
Ac 227.00 Ac.upf
Ag 107.87 Ag.upf
Pd 106.42 Pd.upf
ATOMIC_POSITIONS angstrom
Ac 0.0000 0.0000 0.0000
Ac 0.0000 0.0000 7.3814
Ac 0.0000 2.4116 3.8887
Ac 2.1165 0.0000 14.0927
Ac 2.1165 2.4116 10.2040
Ac 2.1165 2.4116 17.5853
Ag 0.0000 0.0000 11.0653
Ag 0.0000 0.0000 16.9130
Ag 0.0000 2.4116 12.6706
Ag 2.1165 0.0000 2.4666
Ag 2.1165 2.4116 0.8613
Ag 2.1165 2.4116 6.7091
Pd 0.0000 2.4116 15.3759
Pd 2.1165 0.0000 5.1720
CELL_PARAMETERS angstrom
4.2330 0.0000 0.0000
0.0000 4.8232 0.0000
0.0000 0.0000 20.4079
```

Values from the calculation:
Space group = Imm2 (44)
Total magnetic moment = 0.000 μB per atom
Electronic total energy = -4.13 eV per atom
Calculated density = 8.86 g/cm³
Formation energy from the elements = -406 meV per atom
Fermi-level density of states = 9.17 states/eV/cell

---

Compound: CdHPt2
Source: the Alexandria database
Functional: PBE-GGA
Structure: optimized geometry Values from VASP.

Cell and atoms, written as Quantum ESPRESSO input:
```
&SYSTEM
  ibrav = 0, nat = 16, ntyp = 3
/
ATOMIC_SPECIES
Cd 112.41 Cd.upf
H 1.01 H.upf
Pt 195.08 Pt.upf
ATOMIC_POSITIONS angstrom
Cd 0.0000 0.0000 0.0000
Cd 0.0000 3.0978 3.0978
Cd 3.0978 0.0000 3.0978
Cd 3.0978 3.0978 0.0000
H 0.0000 0.0000 3.0978
H 0.0000 3.0978 0.0000
H 3.0978 0.0000 0.0000
H 3.0978 3.0978 3.0978
Pt 1.5489 1.5489 1.5489
Pt 1.5489 1.5489 4.6468
Pt 1.5489 4.6468 1.5489
Pt 1.5489 4.6468 4.6468
Pt 4.6468 1.5489 1.5489
Pt 4.6468 1.5489 4.6468
Pt 4.6468 4.6468 1.5489
Pt 4.6468 4.6468 4.6468
CELL_PARAMETERS angstrom
6.1957 0.0000 0.0000
0.0000 6.1957 0.0000
0.0000 0.0000 6.1957
```

Values from the calculation:
Space group = Fm-3m (225)
Total magnetic moment = 0.000 μB per atom
Electronic total energy = -3.60 eV per atom
Energy above the most stable polymorph in this dataset = 0.5465 eV/atom
Calculated density = 14.06 g/cm³
Fermi-level density of states = 3.59 states/eV/cell

---

Compound: Cd2AgSe
Source: the Alexandria database
Functional: PBE-GGA
Structure: optimized geometry Values from VASP.

Cell and atoms, written as Quantum ESPRESSO input:
```
&SYSTEM
  ibrav = 0, nat = 8, ntyp = 3
/
ATOMIC_SPECIES
Cd 112.41 Cd.upf
Ag 107.87 Ag.upf
Se 78.96 Se.upf
ATOMIC_POSITIONS angstrom
Cd 0.0000 0.0000 0.0000
Cd 0.0000 1.9417 3.2662
Cd 1.8686 0.0000 9.6309
Cd 1.8686 1.9417 6.3646
Ag 0.0000 0.0000 5.4124
Ag 1.8686 1.9417 11.7770
Se 0.0000 1.9417 8.6278
Se 1.8686 0.0000 2.2631
CELL_PARAMETERS angstrom
3.7371 0.0000 0.0000
0.0000 3.8834 0.0000
0.0000 0.0000 12.7293
```

Values from the calculation:
Space group = Imm2 (44)
Total magnetic moment = 0.000 μB per atom
Electronic total energy = -2.11 eV per atom
Energy relative to the elements, uncorrected = -27 kJ/mol of formula units
Calculated density = 7.40 g/cm³
Fermi-level density of states = 2.43 states/eV/cell